# Ti2CdIn2 (PBE-GGA, relaxed)
# calculated formation energy = 0.10 eV/atom
# final energy = -43.4 eV per cell
# energy above the most stable polymorph in this dataset = 2.04 kJ per mole of atoms
data_Ti2CdIn2
_chemical_formula_sum 'Ti4 Cd2 In4'
_symmetry_space_group_name_H-M 'P 4/m b m'
_symmetry_Int_Tables_number 127
_symmetry_space_group_name_Hall '-P 4 2ab'
_cell_length_a 7.712
_cell_length_b 7.712
_cell_length_c 3.470
_cell_angle_alpha 90.00
_cell_angle_beta 90.00
_cell_angle_gamma 90.00
loop_
_atom_site_label
_atom_site_type_symbol
_atom_site_fract_x
_atom_site_fract_y
_atom_site_fract_z
Ti1 Ti 0.172 0.328 0.000
Cd1 Cd 0.000 0.000 0.500
In1 In 0.129 0.629 0.500

***

# Ti15Cd2In2 (PBE-GGA, relaxed)
# calculated formation energy = 0.24 eV/atom
# final energy = -363.6 eV per cell
data_Ti15Cd2In2
_chemical_formula_sum 'Ti45 Cd6 In6'
_symmetry_space_group_name_H-M 'R -3 m'
_symmetry_Int_Tables_number 166
_symmetry_space_group_name_Hall '-R 3 2"'
_cell_length_a 9.1772
_cell_length_b 9.1772
_cell_length_c 14.5432
_cell_angle_alpha 90.00
_cell_angle_beta 90.00
_cell_angle_gamma 120.00
loop_
_atom_site_label
_atom_site_type_symbol
_atom_site_fract_x
_atom_site_fract_y
_atom_site_fract_z
Ti1 Ti 0.0000 0.3038 0.0000
Ti2 Ti 0.0000 0.5000 0.5000
Ti3 Ti 0.0256 0.5128 0.1382
Cd1 Cd 0.0000 0.0000 0.0977
In1 In 0.0000 0.0000 0.3207

***

# TiCdIn2 (PBE-GGA, relaxed)
# calculated formation energy = -0.05 eV/atom
# final energy = -14.5 eV per cell
data_TiCdIn2
_chemical_formula_sum 'Ti1 Cd1 In2'
_symmetry_space_group_name_H-M 'P 4/m m m'
_symmetry_Int_Tables_number 123
_symmetry_space_group_name_Hall '-P 4 2'
_cell_length_a 4.409
_cell_length_b 4.409
_cell_length_c 4.254
_cell_angle_alpha 90.00
_cell_angle_beta 90.00
_cell_angle_gamma 90.00
loop_
_atom_site_label
_atom_site_type_symbol
_atom_site_fract_x
_atom_site_fract_y
_atom_site_fract_z
Ti1 Ti 0.000 0.000 0.000
Cd1 Cd 0.500 0.500 0.000
In1 In 0.000 0.500 0.500

***

# Ti6CdIn5 (PBE-GGA, relaxed)
# calculated formation energy = -0.12 eV/atom
# final energy = -63.4 eV per cell
data_Ti6CdIn5
_chemical_formula_sum 'Ti6 Cd1 In5'
_symmetry_space_group_name_H-M 'P 1 2/m 1'
_symmetry_Int_Tables_number 10
_cell_length_a 4.235
_cell_length_b 8.541
_cell_length_c 6.677
_cell_angle_alpha 90.00
_cell_angle_beta 108.38
_cell_angle_gamma 90.00
loop_
_symmetry_equiv_pos_as_xyz
'x,y,z'
'-x,-y,-z'
'-x,y,-z'
'x,-y,z'
loop_
_atom_site_label
_atom_site_type_symbol
_atom_site_fract_x
_atom_site_fract_y
_atom_site_fract_z
Ti1 Ti 0.000 0.249 0.000
Ti2 Ti 0.333 0.251 0.666
Cd1 Cd 0.500 0.500 0.000
In1 In 0.164 0.500 0.329
In2 In 0.167 0.000 0.334
In3 In 0.500 0.000 0.000

***

# TiCd2In (PBE-GGA, relaxed)
# calculated formation energy = 0.36 eV/atom
# final energy = -33.0 eV per cell
data_TiCd2In
_chemical_formula_sum 'Ti3 Cd6 In3'
_symmetry_space_group_name_H-M 'R -3 m'
_symmetry_Int_Tables_number 166
_symmetry_space_group_name_Hall '-R 3 2"'
_cell_length_a 3.0965
_cell_length_b 3.0965
_cell_length_c 33.0083
_cell_angle_alpha 90.00
_cell_angle_beta 90.00
_cell_angle_gamma 120.00
loop_
_atom_site_label
_atom_site_type_symbol
_atom_site_fract_x
_atom_site_fract_y
_atom_site_fract_z
Ti1 Ti 0.0000 0.0000 0.0000
Cd1 Cd 0.0000 0.0000 0.0854
In1 In 0.0000 0.0000 0.5000

***

# Ti2CdIn2 (PBE-GGA, relaxed)
# calculated formation energy = 0.07 eV/atom
# final energy = -43.6 eV per cell
# energy above the most stable polymorph in this dataset = 0.00 kJ per mole of atoms
data_Ti2CdIn2
_chemical_formula_sum 'Ti4 Cd2 In4'
_symmetry_space_group_name_H-M 'P 4/m b m'
_symmetry_Int_Tables_number 127
_symmetry_space_group_name_Hall '-P 4 2ab'
_cell_length_a 8.172
_cell_length_b 8.172
_cell_length_c 3.205
_cell_angle_alpha 90.00
_cell_angle_beta 90.00
_cell_angle_gamma 90.00
loop_
_atom_site_label
_atom_site_type_symbol
_atom_site_fract_x
_atom_site_fract_y
_atom_site_fract_z
Ti1 Ti 0.113 0.387 0.000
Cd1 Cd 0.000 0.000 0.000
In1 In 0.184 0.684 0.500

***

# TiCd2In2 (PBE-GGA, relaxed)
# calculated formation energy = 0.27 eV/atom
# final energy = -27.7 eV per cell
data_TiCd2In2
_chemical_formula_sum 'Ti2 Cd4 In4'
_symmetry_space_group_name_H-M 'P 4/m b m'
_symmetry_Int_Tables_number 127
_symmetry_space_group_name_Hall '-P 4 2ab'
_cell_length_a 7.968
_cell_length_b 7.968
_cell_length_c 3.668
_cell_angle_alpha 90.00
_cell_angle_beta 90.00
_cell_angle_gamma 90.00
loop_
_atom_site_label
_atom_site_type_symbol
_atom_site_fract_x
_atom_site_fract_y
_atom_site_fract_z
Ti1 Ti 0.000 0.000 0.000
Cd1 Cd 0.159 0.341 0.500
In1 In 0.144 0.644 0.000

***

# Ti2Cd2In (PBE-GGA, relaxed)
# calculated formation energy = 0.32 eV/atom
# final energy = -37.5 eV per cell
# energy above the most stable polymorph in this dataset = 14.77 kJ per mole of atoms
data_Ti2Cd2In
_chemical_formula_sum 'Ti4 Cd4 In2'
_symmetry_space_group_name_H-M 'I 4/m m m'
_symmetry_Int_Tables_number 139
_symmetry_space_group_name_Hall '-I 4 2'
_cell_length_a 3.734
_cell_length_b 3.734
_cell_length_c 15.860
_cell_angle_alpha 90.00
_cell_angle_beta 90.00
_cell_angle_gamma 90.00
loop_
_atom_site_label
_atom_site_type_symbol
_atom_site_fract_x
_atom_site_fract_y
_atom_site_fract_z
Ti1 Ti 0.000 0.500 0.250
Cd1 Cd 0.000 0.000 0.102
In1 In 0.000 0.000 0.500

***

Q: Which value of calculated formation energy does entry 5 give?
A: 0.36 eV/atom